Entry 1:
Below is a relaxed structure of InCu2Re, with properties calculated at the PBE-GGA level.

The structure in POSCAR format:
```
InCu2Re
1.0
4.785 0.003 -0.010
3.987 2.646 -0.010
0.846 0.255 4.906
Cu In Re
2 1 1
Direct
0.006 0.006 0.962 Cu
0.494 0.494 0.538 Cu
0.250 0.250 0.250 In
0.750 0.750 0.750 Re
```

Summary:
As for the total energy: -5.4315 eV per atom. As for the energy of formation from the pure elements: 1.7 eV/f.u.

Entry 2:
Below is a relaxed structure of InCuRe, with properties calculated at the PBE-GGA level.

The structure in POSCAR format:
```
InCuRe
1.0
-1.737 4.305 4.403
-0.163 1.157 6.291
2.758 -1.891 -5.455
Cu In Re
1 1 1
Direct
0.009 0.009 0.000 Cu
0.336 0.336 0.000 In
0.655 0.655 0.000 Re
```

Summary:
As for the total energy: -5.8592 eV per atom. As for the energy of formation from the pure elements: 1.7 eV/f.u.

Entry 3:
Below is a relaxed structure of InCu2Re, with properties calculated at the PBE-GGA level.

The structure in POSCAR format:
```
InCu2Re
1.0
3.824 0.000 0.000
0.000 3.824 0.000
1.912 1.912 9.231
Re Cu In
2 4 2
Direct
0.000 0.000 0.000 Re
0.750 0.250 0.500 Re
0.660 0.125 0.250 Cu
0.090 0.625 0.250 Cu
0.375 0.340 0.750 Cu
0.875 0.910 0.750 Cu
0.500 0.500 0.000 In
0.250 0.750 0.500 In
```

Summary:
As for the total energy: -5.0049 eV per atom. As for the energy of formation from the pure elements: 3.4 eV/f.u.

Entry 4:
Below is a relaxed structure of InCu3Re, with properties calculated at the PBE-GGA level.

The structure in POSCAR format:
```
InCu3Re
1.0
4.727 0.000 0.000
0.000 4.727 0.000
0.000 0.000 4.727
Re Cu In
1 3 1
Direct
0.000 0.000 0.000 Re
0.000 0.500 0.000 Cu
0.000 0.000 0.500 Cu
0.500 0.000 0.000 Cu
0.500 0.500 0.500 In
```

Summary:
As for the total energy: -4.1871 eV per atom. As for the energy of formation from the pure elements: 6.5 eV/f.u.

Entry 5:
Below is a relaxed structure of In2CuRe, with properties calculated at the PBE-GGA level.

The structure in POSCAR format:
```
In2CuRe
1.0
-2.456 2.783 3.120
-3.366 0.094 3.489
3.209 -0.484 4.385
Cu In Re
1 2 1
Direct
0.250 0.250 0.250 Cu
0.999 0.999 0.003 In
0.501 0.501 0.497 In
0.750 0.750 0.750 Re
```

Summary:
As for the total energy: -4.9617 eV per atom. As for the energy of formation from the pure elements: 2.2 eV/f.u.

Entry 6:
Below is a relaxed structure of InCuRe, with properties calculated at the PBE-GGA level.

The structure in POSCAR format:
```
InCuRe
1.0
4.249 0.000 0.000
2.125 3.680 0.000
2.125 1.227 3.469
Cu In Re
1 1 1
Direct
0.750 0.750 0.750 Cu
0.000 0.000 0.000 In
0.500 0.500 0.500 Re
```

Summary:
As for the total energy: -5.5230 eV per atom. As for the energy of formation from the pure elements: 2.7 eV/f.u.

Entry 7:
Below is a relaxed structure of InCuRe, with properties calculated at the PBE-GGA level.

The structure in POSCAR format:
```
InCuRe
1.0
7.075 0.010 -0.008
6.337 2.697 -0.004
0.737 -0.774 2.573
Cu In Re
1 1 1
Direct
0.005 0.005 0.995 Cu
0.337 0.337 0.663 In
0.658 0.658 0.342 Re
```

Summary:
As for the total energy: -5.8495 eV per atom. As for the energy of formation from the pure elements: 1.7 eV/f.u.

Entry 8:
Below is a relaxed structure of InCu2Re, with properties calculated at the PBE-GGA level.

The structure in POSCAR format:
```
InCu2Re
1.0
-1.378 -3.860 -8.058
0.359 -5.785 -6.938
-2.412 -5.905 -6.407
Cu In Re
2 1 1
Direct
0.004 0.004 0.004 Cu
0.496 0.496 0.496 Cu
0.250 0.250 0.250 In
0.750 0.750 0.750 Re
```

Summary:
As for the total energy: -5.4141 eV per atom. As for the energy of formation from the pure elements: 1.7 eV/f.u.

Entry 9:
Below is a relaxed structure of In2CuRe, with properties calculated at the PBE-GGA level.

The structure in POSCAR format:
```
In2CuRe
1.0
-3.042 7.978 -3.772
-1.730 6.748 -6.214
-4.579 6.005 -5.487
Cu In Re
1 2 1
Direct
0.755 0.755 0.755 Cu
0.009 0.009 0.009 In
0.243 0.243 0.243 In
0.493 0.493 0.493 Re
```

Summary:
As for the total energy: -4.9964 eV per atom. As for the energy of formation from the pure elements: 2.0 eV/f.u.

Entry 10:
Below is a relaxed structure of InCu2Re, with properties calculated at the PBE-GGA level.

The structure in POSCAR format:
```
InCu2Re
1.0
-2.018 -0.621 -1.969
2.058 -0.819 -1.851
-0.398 -6.699 2.521
Cu In Re
2 1 1
Direct
0.000 0.000 0.012 Cu
0.500 0.500 0.216 Cu
0.000 0.000 0.488 In
0.500 0.500 0.785 Re
```

Summary:
As for the total energy: -5.4579 eV per atom. As for the energy of formation from the pure elements: 1.5 eV/f.u.

Entry 11:
Below is a relaxed structure of InCu2Re, with properties calculated at the PBE-GGA level.

The structure in POSCAR format:
```
InCu2Re
1.0
-3.880 2.547 -2.519
-4.719 -2.337 -0.403
3.800 1.989 3.081
Cu In Re
2 1 1
Direct
0.013 0.013 0.000 Cu
0.237 0.737 0.500 Cu
0.487 0.487 0.000 In
0.763 0.263 0.500 Re
```

Summary:
As for the total energy: -5.4492 eV per atom. As for the energy of formation from the pure elements: 1.6 eV/f.u.

Entry 12:
Below is a relaxed structure of InCuRe, with properties calculated at the PBE-GGA level.

The structure in POSCAR format:
```
InCuRe
1.0
-0.023 -0.671 -2.803
1.988 -1.151 1.741
-4.141 -5.210 1.282
Cu In Re
1 1 1
Direct
0.000 0.000 0.989 Cu
0.667 0.333 0.326 In
0.333 0.667 0.685 Re
```

Summary:
As for the total energy: -5.9119 eV per atom. As for the energy of formation from the pure elements: 1.5 eV/f.u.

Entry 13:
Below is a relaxed structure of InCu2Re, with properties calculated at the PBE-GGA level.

The structure in POSCAR format:
```
InCu2Re
1.0
-3.281 2.497 0.900
-0.856 -0.181 -2.617
-3.232 -4.212 -0.098
Cu In Re
2 1 1
Direct
0.000 0.193 0.990 Cu
0.500 0.065 0.245 Cu
0.000 0.448 0.480 In
0.500 0.795 0.785 Re
```

Summary:
As for the total energy: -5.4579 eV per atom. As for the energy of formation from the pure elements: 1.5 eV/f.u.

Entry 14:
Below is a relaxed structure of In2CuRe, with properties calculated at the PBE-GGA level.

The structure in POSCAR format:
```
In2CuRe
1.0
-0.171 1.910 4.483
-1.635 -2.200 0.875
4.133 -2.574 1.254
Cu In Re
1 2 1
Direct
0.500 0.625 0.799 Cu
0.000 0.125 0.933 In
0.500 0.125 0.320 In
0.000 0.625 0.448 Re
```

Summary:
As for the total energy: -5.0706 eV per atom. As for the energy of formation from the pure elements: 1.7 eV/f.u.

Entry 15:
Below is a relaxed structure of InCuRe, with properties calculated at the PBE-GGA level.

The structure in POSCAR format:
```
InCuRe
1.0
4.489 0.000 0.000
-2.245 3.888 0.000
0.000 0.000 2.749
Cu In Re
1 1 1
Direct
0.000 0.000 0.168 Cu
0.667 0.333 0.166 In
0.333 0.667 0.667 Re
```

Summary:
As for the total energy: -5.8607 eV per atom. As for the energy of formation from the pure elements: 1.7 eV/f.u.

Number 1: Fermi-level density of states 2.26 states/eV per cell. Number 2: Fermi-level density of states 3.93 states/eV per cell. Number 3: Fermi-level density of states 2.56 states/eV per cell. Number 4: Fermi-level density of states 5.28 states/eV per cell. Number 5: Fermi-level density of states 2.40 states/eV per cell. Number 6: Fermi-level density of states 2.24 states/eV per cell. Number 7: Fermi-level density of states 2.16 states/eV per cell. Number 8: Fermi-level density of states 2.58 states/eV per cell. Number 9: Fermi-level density of states 3.51 states/eV per cell. Number 10: Fermi-level density of states 3.12 states/eV per cell. Number 11: Fermi-level density of states 1.56 states/eV per cell. Number 12: Fermi-level density of states 2.69 states/eV per cell. Number 13: Fermi-level density of states 2.17 states/eV per cell. Number 14: Fermi-level density of states 1.75 states/eV per cell. Number 15: Fermi-level density of states 2.12 states/eV per cell.